[1]
The following is a DFT calculation (PBE) of a relaxed structure of Pr4Y5Er3.

The structure belongs to space group C2/m (No. 12); the cell edges are 16.2765, 5.9582 and 9.4559 Å and the angles 90.00°, 116.96° and 90.00°. The asymmetric unit holds Pr at (0.0860, 0.0000, 0.4497), Pr at (0.2182, 0.0000, 0.8837), Y at (0.0000, 0.0000, 0.0000), Y at (0.0703, 0.5000, 0.7056), Y at (0.1698, 0.5000, 0.3805), Er at (0.0000, 0.5000, 0.0000) and Er at (0.2140, 0.0000, 0.2381).

For the energy of formation, the calculation gives 0.22 eV per atom. Its total DFT energy (no corrections) is -124.97 eV/cell.

[2]
The following is a DFT calculation (PBE) of a relaxed structure of MgBPS2.

The structure belongs to space group P4/mmm (No. 123); the cell edges are 4.7840, 4.7840 and 4.8172 Å and the angles 90.00°, 90.00° and 90.00°. The asymmetric unit holds Mg at (0.0000, 0.0000, 0.0000), B at (0.5000, 0.5000, 0.5000), P at (0.0000, 0.0000, 0.5000) and S at (0.0000, 0.5000, 0.0000).

As for the formation energy (no corrections): 1408 meV/atom. Its total DFT energy (no corrections) is -14.90 eV/cell.